Compound: Mn3Si
Source: the Alexandria database
Functional: meta-GGA SCAN
Structure: single point on PBEsol structure

Output
**ΔE_f (raw)**: -127 kJ/mol of formula units
**Symmetry**: No. 47

a b c (Å): 2.557 3.472 4.942
angles (deg): 90.00 90.00 90.00
Last column: magnetic moment on the atom in μB.
Fractional positions:
Si1 0.000 0.000 0.000  -0.08
Mn1 0.500 0.500 0.249  2.25
Mn2 0.500 0.500 0.751  2.25
Mn3 0.000 0.000 0.500  -2.54